Density functional theory data (PBE) for GdY2Al3AgGe2 after structural relaxation.

It has space group Amm2 (No. 38), with a = 4.295 Å, b = 12.283 Å, c = 7.084 Å, α = 90.00°, β = 90.00° and γ = 90.00°. Symmetry generates all atoms from Gd at (0.000, 0.000, 0.000), Y at (0.000, 0.207, 0.380), Al at (0.500, 0.000, 0.346), Al at (0.500, 0.120, 0.706), Ag at (0.000, 0.000, 0.585) and Ge at (0.500, 0.167, 0.087).

The value obtained for the total magnetization is 0.00 μB per formula unit. The value obtained for the uncorrected energy is -93.1 eV/cell.